# TlNi2RuF | Alexandria via LeMat-Bulk | PBE with a Hubbard U | relaxed
data_TlNi2RuF
_chemical_formula_sum 'Tl1 Ni2 Ru1 F1'
_cell_length_a 4.612
_cell_length_b 4.612
_cell_length_c 5.257
_cell_angle_alpha 90.00
_cell_angle_beta 90.00
_cell_angle_gamma 90.00
_space_group_name_H-M_alt 'P 4/m m m'
_space_group_IT_number 123
_space_group_name_Hall '-P 4 2'
loop_
_atom_site_label
_atom_site_type_symbol
_atom_site_fract_x
_atom_site_fract_y
_atom_site_fract_z
Tl1 Tl 0.000 0.000 0.000
Ni1 Ni 0.000 0.500 0.500
Ru1 Ru 0.000 0.000 0.500
F1 F 0.500 0.500 0.000
# **Calculated total energy**: -14.2 eV/cell
# **Crystal system**: tetragonal
# **Total magnetization**: 2.8 μB/f.u.
# **DOS at the Fermi energy**: 3.5 states/eV/f.u.